Record 1
The following is a DFT calculation (PBE-GGA) of a relaxed Er2AlBi crystal.

```
data_Er2AlBi
_space_group_name_H-M_alt 'R -3 m'
_space_group_IT_number 166
_space_group_name_Hall '-R 3 2"'
_cell_length_a 4.1649
_cell_length_b 4.1649
_cell_length_c 23.1243
_cell_angle_alpha 90.00
_cell_angle_beta 90.00
_cell_angle_gamma 120.00
loop_
_atom_site_label
_atom_site_type_symbol
_atom_site_fract_x
_atom_site_fract_y
_atom_site_fract_z
Er1 Er 0.0000 0.0000 0.2504
Al1 Al 0.0000 0.0000 0.5000
Bi1 Bi 0.0000 0.0000 0.0000
```

Properties
* E_tot: -54.23 eV/cell
* M_tot: 0.00 Bohr magnetons per cell

***

Record 2
The following is a DFT calculation (PBE-GGA) of a relaxed Er8Al3Bi2 crystal.

```
data_Er8Al3Bi2
_space_group_name_H-M_alt 'C m m m'
_space_group_IT_number 65
_space_group_name_Hall '-C 2 2'
_cell_length_a 10.023
_cell_length_b 15.251
_cell_length_c 4.920
_cell_angle_alpha 90.00
_cell_angle_beta 90.00
_cell_angle_gamma 90.00
loop_
_atom_site_label
_atom_site_type_symbol
_atom_site_fract_x
_atom_site_fract_y
_atom_site_fract_z
Er1 Er 0.000 0.108 0.000
Er2 Er 0.000 0.377 0.000
Er3 Er 0.245 0.384 0.500
Al1 Al 0.000 0.500 0.500
Al2 Al 0.246 0.500 0.000
Bi1 Bi 0.000 0.239 0.500
```

Properties
* E_tot: -118.35 eV/cell
* M_tot: 0.00 Bohr magnetons per cell

***

Record 3
The following is a DFT calculation (PBE-GGA) of a relaxed ErAl4Bi crystal.

```
data_ErAl4Bi
_space_group_name_H-M_alt 'F -4 3 m'
_space_group_IT_number 216
_space_group_name_Hall 'F -4 2 3'
_cell_length_a 7.919
_cell_length_b 7.919
_cell_length_c 7.919
_cell_angle_alpha 90.00
_cell_angle_beta 90.00
_cell_angle_gamma 90.00
loop_
_atom_site_label
_atom_site_type_symbol
_atom_site_fract_x
_atom_site_fract_y
_atom_site_fract_z
Er1 Er 0.000 0.000 0.000
Al1 Al 0.125 0.125 0.375
Bi1 Bi 0.250 0.250 0.750
```

Properties
* E_tot: -97.24 eV/cell
* M_tot: 0.00 Bohr magnetons per cell

***

Record 4
The following is a DFT calculation (PBE-GGA) of a relaxed Er5Al2Bi crystal.

```
data_Er5Al2Bi
_space_group_name_H-M_alt 'I 4/m c m'
_space_group_IT_number 140
_space_group_name_Hall '-I 4 2c'
_cell_length_a 8.213
_cell_length_b 8.213
_cell_length_c 12.719
_cell_angle_alpha 90.00
_cell_angle_beta 90.00
_cell_angle_gamma 90.00
loop_
_atom_site_label
_atom_site_type_symbol
_atom_site_fract_x
_atom_site_fract_y
_atom_site_fract_z
Er1 Er 0.000 0.000 0.000
Er2 Er 0.154 0.346 0.144
Al1 Al 0.143 0.357 0.500
Bi1 Bi 0.000 0.000 0.250
```

Properties
* E_tot: -150.59 eV/cell
* M_tot: 0.00 Bohr magnetons per cell